i.
## Tm2Bi2O5 (GGA-PBE)

Data for a relaxed Tm2Bi2O5 crystal.

- Density: 9.9 g cm⁻³
- Total magnetization: 0.001 μB/atom

Unit cell a=4.185 b=4.185 c=8.015 alpha=90.00 beta=90.00 gamma=90.00
Space group P4/mmm (No. 123)
Asymmetric unit:
Tm1 0.000 0.000 0.000 [1 per cell]
Tm2 0.000 0.000 0.500 [1 per cell]
Bi1 0.500 0.500 0.229 [2 per cell]
O1 0.000 0.500 0.311 [4 per cell]
O2 0.500 0.500 0.500 [1 per cell]

ii.
## Tm2Bi2O5 (GGA-PBE)

Data for a relaxed Tm2Bi2O5 crystal.

- Density: 9.6 g cm⁻³
- Total magnetization: 0.075 μB/atom

Unit cell a=3.984 b=3.984 c=9.079 alpha=90.00 beta=90.00 gamma=90.00
Space group P4/mmm (No. 123)
Asymmetric unit:
Tm1 0.000 0.000 0.249 [2 per cell]
Bi1 0.500 0.500 0.000 [1 per cell]
Bi2 0.500 0.500 0.500 [1 per cell]
O1 0.000 0.000 0.000 [1 per cell]
O2 0.000 0.500 0.340 [4 per cell]

Which of them is the most stable? Correct choice: ii.

i.
## ReBiOs (GGA-PBE)

Data for a relaxed ReBiOs crystal.

- Density: 15.9 g cm⁻³
- Total magnetization: 0.034 μB/atom

Unit cell a=6.255 b=6.255 c=6.255 alpha=90.00 beta=90.00 gamma=90.00
Space group F-43m (No. 216)
Asymmetric unit:
Re1 0.000 0.000 0.000 [4 per cell]
Bi1 0.000 0.000 0.500 [4 per cell]
Os1 0.250 0.250 0.750 [4 per cell]

ii.
## ReBiOs (GGA-PBE)

Data for a relaxed ReBiOs crystal.

- Density: 17.0 g cm⁻³
- Total magnetization: 0.001 μB/atom

Unit cell a=6.7070 b=6.7070 c=4.4061 alpha=90.00 beta=90.00 gamma=120.00
Space group P-62m (No. 189)
Asymmetric unit:
Re1 0.0000 0.0000 0.0000 [1 per cell]
Re2 0.3333 0.6667 0.5000 [2 per cell]
Bi1 0.0000 0.5895 0.0000 [3 per cell]
Os1 0.0000 0.2527 0.5000 [3 per cell]

Which of them is the most stable? Correct choice: ii.

i.
## Tm3Sc3Bi2Os (GGA-PBE)

Data for a relaxed Tm3Sc3Bi2Os crystal.

- Density: 9.1 g cm⁻³
- Total magnetization: 0.002 μB/atom

Unit cell a=7.9046 b=7.9046 c=4.1919 alpha=90.00 beta=90.00 gamma=120.00
Space group P-62m (No. 189)
Asymmetric unit:
Tm1 0.0000 0.6175 0.0000 [3 per cell]
Sc1 0.0000 0.2252 0.5000 [3 per cell]
Bi1 0.3333 0.6667 0.5000 [2 per cell]
Os1 0.0000 0.0000 0.0000 [1 per cell]

ii.
## Tm3Sc3Bi2Os (GGA-PBE)

Data for a relaxed Tm3Sc3Bi2Os crystal.

- Density: 9.1 g cm⁻³
- Total magnetization: 0.002 μB/atom

Unit cell a=8.0666 b=8.0666 c=4.0676 alpha=90.00 beta=90.00 gamma=120.00
Space group P-62m (No. 189)
Asymmetric unit:
Tm1 0.0000 0.2388 0.0000 [3 per cell]
Sc1 0.0000 0.6189 0.5000 [3 per cell]
Bi1 0.3333 0.6667 0.0000 [2 per cell]
Os1 0.0000 0.0000 0.5000 [1 per cell]

Which of them is the most stable? Correct choice: i.

i.
## Zr3Sc3Bi2Os (GGA-PBE)

Data for a relaxed Zr3Sc3Bi2Os crystal.

- Density: 8.1 g cm⁻³
- Total magnetization: 0.007 μB/atom

Unit cell a=7.9858 b=7.9858 c=3.7808 alpha=90.00 beta=90.00 gamma=120.00
Space group P-62m (No. 189)
Asymmetric unit:
Zr1 0.0000 0.7578 0.0000 [3 per cell]
Sc1 0.0000 0.3871 0.5000 [3 per cell]
Bi1 0.3333 0.6667 0.0000 [2 per cell]
Os1 0.0000 0.0000 0.5000 [1 per cell]

ii.
## Zr3Sc3Bi2Os (GGA-PBE)

Data for a relaxed Zr3Sc3Bi2Os crystal.

- Density: 8.3 g cm⁻³
- Total magnetization: 0.023 μB/atom

Unit cell a=7.8534 b=7.8534 c=3.8067 alpha=90.00 beta=90.00 gamma=120.00
Space group P-62m (No. 189)
Asymmetric unit:
Zr1 0.0000 0.3845 0.0000 [3 per cell]
Sc1 0.0000 0.7616 0.5000 [3 per cell]
Bi1 0.3333 0.6667 0.5000 [2 per cell]
Os1 0.0000 0.0000 0.0000 [1 per cell]

Which of them is the most stable? Correct choice: i.

i.
## Y3Tm3Bi2Os (GGA-PBE)

Data for a relaxed Y3Tm3Bi2Os crystal.

- Density: 9.2 g cm⁻³
- Total magnetization: 0.003 μB/atom

Unit cell a=8.2821 b=8.2821 c=4.2188 alpha=90.00 beta=90.00 gamma=120.00
Space group P-62m (No. 189)
Asymmetric unit:
Y1 0.0000 0.7630 0.0000 [3 per cell]
Tm1 0.0000 0.3838 0.5000 [3 per cell]
Bi1 0.3333 0.6667 0.0000 [2 per cell]
Os1 0.0000 0.0000 0.5000 [1 per cell]

ii.
## Y3Tm3Bi2Os (GGA-PBE)

Data for a relaxed Y3Tm3Bi2Os crystal.

- Density: 9.2 g cm⁻³
- Total magnetization: 0.007 μB/atom

Unit cell a=8.2453 b=8.2453 c=4.2392 alpha=90.00 beta=90.00 gamma=120.00
Space group P-62m (No. 189)
Asymmetric unit:
Y1 0.0000 0.3886 0.0000 [3 per cell]
Tm1 0.0000 0.7698 0.5000 [3 per cell]
Bi1 0.3333 0.6667 0.5000 [2 per cell]
Os1 0.0000 0.0000 0.0000 [1 per cell]

Which of them is the most stable? Correct choice: ii.

i.
## YBiOs (GGA-PBE)

Data for a relaxed YBiOs crystal.

- Density: 10.1 g cm⁻³
- Total magnetization: 0.005 μB/atom

Unit cell a=6.841 b=6.841 c=6.841 alpha=90.00 beta=90.00 gamma=90.00
Space group F-43m (No. 216)
Asymmetric unit:
Y1 0.000 0.000 0.000 [4 per cell]
Bi1 0.250 0.250 0.750 [4 per cell]
Os1 0.250 0.250 0.250 [4 per cell]

ii.
## YBiOs (GGA-PBE)

Data for a relaxed YBiOs crystal.

- Density: 10.8 g cm⁻³
- Total magnetization: 0.001 μB/atom

Unit cell a=6.694 b=6.694 c=6.694 alpha=90.00 beta=90.00 gamma=90.00
Space group F-43m (No. 216)
Asymmetric unit:
Y1 0.000 0.000 0.000 [4 per cell]
Bi1 0.000 0.000 0.500 [4 per cell]
Os1 0.250 0.250 0.750 [4 per cell]

Which of them is the most stable? Correct choice: ii.

i.
## Y3Zr3Bi2Os (GGA-PBE)

Data for a relaxed Y3Zr3Bi2Os crystal.

- Density: 8.5 g cm⁻³
- Total magnetization: 0.010 μB/atom

Unit cell a=8.2027 b=8.2027 c=3.8632 alpha=90.00 beta=90.00 gamma=120.00
Space group P-62m (No. 189)
Asymmetric unit:
Y1 0.0000 0.7534 0.0000 [3 per cell]
Zr1 0.0000 0.3907 0.5000 [3 per cell]
Bi1 0.3333 0.6667 0.0000 [2 per cell]
Os1 0.0000 0.0000 0.5000 [1 per cell]

ii.
## Y3Zr3Bi2Os (GGA-PBE)

Data for a relaxed Y3Zr3Bi2Os crystal.

- Density: 8.3 g cm⁻³
- Total magnetization: 0.009 μB/atom

Unit cell a=8.1286 b=8.1286 c=4.0318 alpha=90.00 beta=90.00 gamma=120.00
Space group P-62m (No. 189)
Asymmetric unit:
Y1 0.0000 0.3932 0.0000 [3 per cell]
Zr1 0.0000 0.7701 0.5000 [3 per cell]
Bi1 0.3333 0.6667 0.5000 [2 per cell]
Os1 0.0000 0.0000 0.0000 [1 per cell]

Which of them is the most stable? Correct choice: ii.

i.
## PaSnBi (GGA-PBE)

Data for a relaxed PaSnBi crystal.

- Density: 9.4 g cm⁻³
- Total magnetization: 0.568 μB/atom

Unit cell a=7.336 b=7.336 c=7.336 alpha=90.00 beta=90.00 gamma=90.00
Space group F-43m (No. 216)
Asymmetric unit:
Pa1 0.000 0.000 0.000 [4 per cell]
Sn1 0.250 0.250 0.750 [4 per cell]
Bi1 0.000 0.000 0.500 [4 per cell]

ii.
## PaSnBi (GGA-PBE)

Data for a relaxed PaSnBi crystal.

- Density: 10.9 g cm⁻³
- Total magnetization: 0.003 μB/atom

Unit cell a=4.399 b=4.399 c=17.631 alpha=90.00 beta=90.00 gamma=90.00
Space group I4/mmm (No. 139)
Asymmetric unit:
Pa1 0.000 0.000 0.133 [4 per cell]
Sn1 0.000 0.500 0.000 [4 per cell]
Bi1 0.000 0.000 0.320 [4 per cell]

Which of them is the most stable? Correct choice: ii.